No. 1
# OsRuRh3, optimized geometry, DFT PBE
# Total magnetic moment   0.0 μB per formula unit
# Energy relative to the lowest polymorph listed for this composition   0 meV/atom
# DOS at the Fermi energy   30.08 states/eV/cell
# Calculated total energy   -40.2 eV per formula unit
# Symmetry   Pnma
# Energy of formation from the pure elements   0.47 eV/atom
data_OsRuRh3
_space_group_name_H-M_alt 'P 1'
_space_group_IT_number 1
_space_group_name_Hall 'P 1'
_cell_length_a 5.0076
_cell_length_b 7.5416
_cell_length_c 8.1850
_cell_angle_alpha 90.00
_cell_angle_beta 90.00
_cell_angle_gamma 90.00
loop_
_atom_site_label
_atom_site_type_symbol
_atom_site_fract_x
_atom_site_fract_y
_atom_site_fract_z
Rh1 Rh 0.4998 0.3433 0.9371
Rh2 Rh 0.5002 0.6567 0.4371
Rh3 Rh 0.0002 0.8433 0.5629
Rh4 Rh 0.7671 0.8868 0.2500
Rh5 Rh 0.7329 0.3868 0.2500
Rh6 Rh 0.5002 0.6567 0.0629
Rh7 Rh 0.2329 0.1132 0.7500
Rh8 Rh 0.4998 0.3433 0.5629
Rh9 Rh 0.0002 0.8433 0.9371
Rh10 Rh 0.9998 0.1567 0.4371
Rh11 Rh 0.2671 0.6132 0.7500
Rh12 Rh 0.9998 0.1567 0.0629
Os1 Os 0.5000 0.0000 0.5000
Os2 Os 0.0000 0.5000 0.0000
Os3 Os 0.5000 0.0000 0.0000
Os4 Os 0.0000 0.5000 0.5000
Ru1 Ru 0.7496 0.0988 0.7500
Ru2 Ru 0.7504 0.5988 0.7500
Ru3 Ru 0.2496 0.4012 0.2500
Ru4 Ru 0.2504 0.9012 0.2500

***

No. 2
# SmNi5Sb3, optimized geometry, DFT PBE
# Total magnetic moment   0.0 μB per formula unit
# DOS at the Fermi energy   11.61 states/eV/cell
# Calculated total energy   -49.3 eV per formula unit
# Symmetry   Cmcm
# Energy relative to the elements, uncorrected   -370.8 meV/atom
data_SmNi5Sb3
_space_group_name_H-M_alt 'P 1'
_space_group_IT_number 1
_space_group_name_Hall 'P 1'
_cell_length_a 4.2596
_cell_length_b 7.3036
_cell_length_c 10.4959
_cell_angle_alpha 90.00
_cell_angle_beta 90.00
_cell_angle_gamma 106.95
loop_
_atom_site_label
_atom_site_type_symbol
_atom_site_fract_x
_atom_site_fract_y
_atom_site_fract_z
Ni1 Ni 0.1807 0.3614 0.5401
Ni2 Ni 0.0000 0.0000 0.5000
Ni3 Ni 0.4579 0.9158 0.3762
Ni4 Ni 0.4579 0.9158 0.1238
Ni5 Ni 0.5421 0.0842 0.6238
Ni6 Ni 0.8193 0.6386 0.4599
Ni7 Ni 0.0000 0.0000 0.0000
Ni8 Ni 0.8193 0.6386 0.0401
Ni9 Ni 0.5421 0.0842 0.8762
Ni10 Ni 0.1807 0.3614 0.9599
Sb1 Sb 0.0738 0.1475 0.7500
Sb2 Sb 0.3628 0.7256 0.5791
Sb3 Sb 0.3628 0.7256 0.9209
Sb4 Sb 0.6372 0.2744 0.4209
Sb5 Sb 0.9262 0.8525 0.2500
Sb6 Sb 0.6372 0.2744 0.0791
Sm1 Sm 0.7430 0.4860 0.7500
Sm2 Sm 0.2570 0.5140 0.2500

***

No. 3
# KSrNi2, optimized geometry, DFT PBE
# Total magnetic moment   0.1 μB per formula unit
# Energy relative to the lowest polymorph listed for this composition   494 meV/atom
# DOS at the Fermi energy   4.30 states/eV/cell
# Calculated total energy   -11.7 eV per formula unit
# Symmetry   Cmmm
# Energy of formation from the pure elements   0.65 eV/atom
data_KSrNi2
_space_group_name_H-M_alt 'P 1'
_space_group_IT_number 1
_space_group_name_Hall 'P 1'
_cell_length_a 4.8929
_cell_length_b 4.8929
_cell_length_c 4.0330
_cell_angle_alpha 89.98
_cell_angle_beta 89.98
_cell_angle_gamma 88.40
loop_
_atom_site_label
_atom_site_type_symbol
_atom_site_fract_x
_atom_site_fract_y
_atom_site_fract_z
Sr1 Sr 0.5000 0.0000 0.5000
K1 K 0.0000 0.5000 0.5000
Ni1 Ni 0.5000 0.5000 0.0000
Ni2 Ni 0.0000 0.0000 0.0000